A relaxed structure of Zr2ZnOs, computed with PBE.

The electronic total energy is -7.80 eV per atom.

The space group is P4/mmm (No. 123) and the conventional cell measures 3.293, 3.293 and 6.725 Å, with angles of 90.00, 90.00 and 90.00 degrees. The asymmetric unit holds Zr at (0.000, 0.000, 0.244), Zn at (0.500, 0.500, 0.500) and Os at (0.500, 0.500, 0.000).

---

A relaxed structure of ZrZnOs2, computed with PBE.

The electronic total energy is -8.10 eV per atom.

The space group is P4/mmm (No. 123) and the conventional cell measures 4.053, 4.053 and 3.858 Å, with angles of 90.00, 90.00 and 90.00 degrees. The asymmetric unit holds Zr at (0.000, 0.000, 0.000), Zn at (0.500, 0.500, 0.000) and Os at (0.000, 0.500, 0.500).

---

A relaxed structure of ZrZnOs2, computed with PBE.

The electronic total energy is -8.05 eV per atom.

The space group is C2/m (No. 12) and the conventional cell measures 8.973, 3.049 and 4.895 Å, with angles of 90.00, 105.10 and 90.00 degrees. The asymmetric unit holds Zr at (0.000, 0.000, 0.000), Zn at (0.000, 0.500, 0.500) and Os at (0.244, 0.000, 0.720).

---

A relaxed structure of ZrZn2Os, computed with PBE.

The electronic total energy is -5.60 eV per atom.

The space group is Pmmm (No. 47) and the conventional cell measures 2.828, 4.096 and 5.541 Å, with angles of 90.00, 90.00 and 90.00 degrees. The asymmetric unit holds Zr at (0.000, 0.000, 0.000), Zn at (0.500, 0.500, 0.277) and Os at (0.000, 0.000, 0.500).

---

A relaxed structure of ZrZn2Os, computed with PBE.

The electronic total energy is -5.50 eV per atom.

The space group is C2/m (No. 12) and the conventional cell measures 5.405, 9.004 and 2.740 Å, with angles of 90.00, 102.91 and 90.00 degrees. The asymmetric unit holds Zr at (0.000, 0.000, 0.000), Zn at (0.250, 0.250, 0.500) and Os at (0.000, 0.500, 0.000).

---

A relaxed structure of ZrZn2Os, computed with PBE.

The electronic total energy is -5.71 eV per atom.

The space group is C2/m (No. 12) and the conventional cell measures 9.324, 3.318 and 4.500 Å, with angles of 90.00, 108.65 and 90.00 degrees. The asymmetric unit holds Zr at (0.000, 0.000, 0.000), Zn at (0.238, 0.000, 0.714) and Os at (0.000, 0.500, 0.500).

---

A relaxed structure of ZrZnOs2, computed with PBE.

The electronic total energy is -8.12 eV per atom.

The space group is P4mm (No. 99) and the conventional cell measures 2.848, 2.848 and 7.992 Å, with angles of 90.00, 90.00 and 90.00 degrees. The asymmetric unit holds Zr at (0.000, 0.000, 0.000), Zn at (0.500, 0.500, 0.723), Os at (0.000, 0.000, 0.487) and Os at (0.500, 0.500, 0.280).

---

A relaxed structure of ZrZnOs2, computed with PBE.

The electronic total energy is -8.08 eV per atom.

The space group is Imm2 (No. 44) and the conventional cell measures 3.135, 4.427 and 9.262 Å, with angles of 90.00, 90.00 and 90.00 degrees. The asymmetric unit holds Zr at (0.000, 0.000, 0.000), Zn at (0.000, 0.500, 0.230), Os at (0.000, 0.000, 0.492) and Os at (0.000, 0.500, 0.761).

---

A relaxed structure of Zr2ZnOs, computed with PBE.

The electronic total energy is -7.52 eV per atom.

The space group is F-43m (No. 216) and the conventional cell measures 6.548, 6.548 and 6.548 Å, with angles of 90.00, 90.00 and 90.00 degrees. The asymmetric unit holds Zr at (0.000, 0.000, 0.000), Zr at (0.250, 0.250, 0.250), Zn at (0.000, 0.000, 0.500) and Os at (0.250, 0.250, 0.750).

---

A relaxed structure of ZrZn2Os, computed with PBE.

The electronic total energy is -5.65 eV per atom.

The space group is Pm (No. 6) and the conventional cell measures 3.077, 3.998 and 5.449 Å, with angles of 90.00, 103.69 and 90.00 degrees. The asymmetric unit holds Zr at (0.000, 0.000, 0.000), Zn at (0.332, 0.000, 0.499), Zn at (0.396, 0.500, 0.748) and Os at (0.727, 0.500, 0.280).

---

A relaxed structure of Zr5Zn4Os, computed with PBE.

The electronic total energy is -6.23 eV per atom.

The space group is P4/mmm (No. 123) and the conventional cell measures 3.325, 3.325 and 16.694 Å, with angles of 90.00, 90.00 and 90.00 degrees. The asymmetric unit holds Zr at (0.000, 0.000, 0.000), Zr at (0.000, 0.000, 0.201), Zr at (0.000, 0.000, 0.403), Zn at (0.500, 0.500, 0.100), Zn at (0.500, 0.500, 0.300) and Os at (0.500, 0.500, 0.500).

---

A relaxed structure of ZrZnOs2, computed with PBE.

The electronic total energy is -8.07 eV per atom.

The space group is Pmm2 (No. 25) and the conventional cell measures 2.852, 3.997 and 5.602 Å, with angles of 90.00, 90.00 and 90.00 degrees. The asymmetric unit holds Zr at (0.000, 0.000, 0.000), Zn at (0.500, 0.500, 0.732), Os at (0.000, 0.000, 0.489) and Os at (0.500, 0.500, 0.272).

---

A relaxed structure of ZrZnOs2, computed with PBE.

The electronic total energy is -7.94 eV per atom.

The space group is Pmmm (No. 47) and the conventional cell measures 3.189, 4.289 and 4.686 Å, with angles of 90.00, 90.00 and 90.00 degrees. The asymmetric unit holds Zr at (0.000, 0.000, 0.000), Zn at (0.500, 0.000, 0.500), Os at (0.000, 0.500, 0.500) and Os at (0.500, 0.500, 0.000).

---

A relaxed structure of Zr2ZnOs, computed with PBE.

The electronic total energy is -7.53 eV per atom.

The space group is P4mm (No. 99) and the conventional cell measures 3.374, 3.374 and 6.411 Å, with angles of 90.00, 90.00 and 90.00 degrees. The asymmetric unit holds Zr at (0.000, 0.000, 0.000), Zr at (0.500, 0.500, 0.308), Zn at (0.500, 0.500, 0.753) and Os at (0.000, 0.000, 0.547).

---

A relaxed structure of ZrZnOs2, computed with PBE.

The electronic total energy is -7.88 eV per atom.

The space group is Cmmm (No. 65) and the conventional cell measures 3.165, 4.706 and 8.636 Å, with angles of 90.00, 90.00 and 90.00 degrees. The asymmetric unit holds Zr at (0.000, 0.000, 0.000), Zn at (0.000, 0.000, 0.500) and Os at (0.000, 0.500, 0.257).

---

A relaxed structure of Zr4ZnOs3, computed with PBE.

The electronic total energy is -9.11 eV per atom.

The space group is Pmmm (No. 47) and the conventional cell measures 3.282, 4.676 and 9.372 Å, with angles of 90.00, 90.00 and 90.00 degrees. The asymmetric unit holds Zr at (0.000, 0.000, 0.000), Zr at (0.000, 0.000, 0.500), Zr at (0.000, 0.500, 0.247), Zn at (0.500, 0.500, 0.500), Os at (0.500, 0.000, 0.250) and Os at (0.500, 0.500, 0.000).

---

A relaxed structure of ZrZn2Os, computed with PBE.

The electronic total energy is -5.56 eV per atom.

The space group is P4/mmm (No. 123) and the conventional cell measures 3.337, 3.337 and 5.774 Å, with angles of 90.00, 90.00 and 90.00 degrees. The asymmetric unit holds Zr at (0.000, 0.000, 0.000), Zn at (0.500, 0.500, 0.281) and Os at (0.000, 0.000, 0.500).

---

A relaxed structure of ZrZnOs2, computed with PBE.

The electronic total energy is -7.99 eV per atom.

The space group is C2/m (No. 12) and the conventional cell measures 5.659, 9.004 and 2.794 Å, with angles of 90.00, 116.51 and 90.00 degrees. The asymmetric unit holds Zr at (0.000, 0.000, 0.000), Zn at (0.000, 0.500, 0.000) and Os at (0.250, 0.250, 0.500).

---

A relaxed structure of Zr4Zn2Os, computed with PBE.

The electronic total energy is -7.02 eV per atom.

The space group is R-3m (No. 166, hexagonal axes) and the conventional cell measures 4.6470, 4.6470 and 22.3246 Å, with angles of 90.00, 90.00 and 120.00 degrees. The asymmetric unit holds Zr at (0.0000, 0.0000, 0.1197), Zr at (0.0000, 0.0000, 0.3722), Zn at (0.0000, 0.0000, 0.2475) and Os at (0.0000, 0.0000, 0.5000).

---

A relaxed structure of ZrZnOs, computed with PBE.

The electronic total energy is -7.25 eV per atom.

The space group is Imm2 (No. 44) and the conventional cell measures 3.365, 3.421 and 8.826 Å, with angles of 90.00, 90.00 and 90.00 degrees. The asymmetric unit holds Zr at (0.000, 0.000, 0.000), Zn at (0.000, 0.000, 0.318) and Os at (0.000, 0.000, 0.659).

---

A relaxed structure of Zr2ZnOs, computed with PBE.

The electronic total energy is -7.62 eV per atom.

The space group is Imm2 (No. 44) and the conventional cell measures 3.316, 4.604 and 9.804 Å, with angles of 90.00, 90.00 and 90.00 degrees. The asymmetric unit holds Zr at (0.000, 0.000, 0.000), Zr at (0.000, 0.500, 0.225), Zn at (0.000, 0.500, 0.784) and Os at (0.000, 0.000, 0.503).

---

A relaxed structure of Zr2Os3, computed with PBE.

The value obtained for the excess energy over the best structure of this formula in the dataset is 0 meV/atom.

The space group is Fdd2 (No. 43) and the conventional cell measures 8.991, 15.432 and 5.315 Å, with angles of 90.00, 90.00 and 90.00 degrees. The asymmetric unit holds Zr at (0.081, 0.207, 0.000), Os at (0.000, 0.000, 0.203) and Os at (0.069, 0.124, 0.495).

---

A relaxed structure of ZrOs3, computed with PBE.

The value obtained for the excess energy over the best structure of this formula in the dataset is 287 meV/atom.

The space group is P4/mmm (No. 123) and the conventional cell measures 4.593, 4.593 and 3.036 Å, with angles of 90.00, 90.00 and 90.00 degrees. The asymmetric unit holds Zr at (0.000, 0.000, 0.000), Os at (0.000, 0.500, 0.500) and Os at (0.500, 0.500, 0.000).

---

A relaxed structure of Zr2Os, computed with PBE.

The electronic total energy is -9.55 eV per atom.

The space group is P6_3/mmc (No. 194) and the conventional cell measures 4.9669, 4.9669 and 5.4525 Å, with angles of 90.00, 90.00 and 120.00 degrees. The asymmetric unit holds Zr at (0.0000, 0.0000, 0.0000), Zr at (0.3333, 0.6667, 0.2500) and Os at (0.3333, 0.6667, 0.7500).

---

A relaxed structure of Zr4Os, computed with PBE.

The value obtained for the excess energy over the best structure of this formula in the dataset is 621 meV/atom.

The space group is Pm-3m (No. 221) and the conventional cell measures 5.052, 5.052 and 5.052 Å, with angles of 90.00, 90.00 and 90.00 degrees. The asymmetric unit holds Zr at (0.000, 0.000, 0.000), Zr at (0.000, 0.500, 0.500) and Os at (0.500, 0.500, 0.500).

---

A relaxed structure of ZrOs3, computed with PBE.

The value obtained for the excess energy over the best structure of this formula in the dataset is 61 meV/atom.

The space group is Pmmn (No. 59, origin choice 2) and the conventional cell measures 4.484, 5.588 and 5.151 Å, with angles of 90.00, 90.00 and 90.00 degrees. The asymmetric unit holds Zr at (0.250, 0.250, 0.124), Os at (0.250, 0.509, 0.641) and Os at (0.250, 0.750, 0.198).

---

A relaxed structure of ZrOs3, computed with PBE.

The value obtained for the excess energy over the best structure of this formula in the dataset is 0 meV/atom.

The space group is Pnma (No. 62) and the conventional cell measures 5.363, 9.008 and 5.386 Å, with angles of 90.00, 90.00 and 90.00 degrees. The asymmetric unit holds Zr at (0.051, 0.250, 0.088), Os at (0.077, 0.250, 0.586) and Os at (0.184, 0.518, 0.328).